# 1
PBEsol BaScRe2, optimized geometry; magnetization = 0.0 μB/f.u.; ΔE to the lowest computed polymorph = 0 meV per atom; E = -7.93 eV per atom; E_form = 3.7 eV per formula unit
1.0
2.8273 0.0000 0.0000
0.0000 2.8273 0.0000
0.0000 0.0000 10.0305
Ba Sc Re
1 1 2
Direct
0.0000 0.0000 0.0000
0.0000 0.0000 0.5000
0.5000 0.5000 0.2840
0.5000 0.5000 0.7160

***

# 2
PBEsol BaSc2Re, optimized geometry; magnetization = 0.0 μB/f.u.; ΔE to the lowest computed polymorph = 331 meV per atom; E = -6.43 eV per atom; E_form = 3.0 eV per formula unit
1.0
0.0000 3.5452 3.5452
3.5452 0.0000 3.5452
3.5452 3.5452 0.0000
Ba Sc Re
1 2 1
Direct
0.0000 0.0000 0.0000
0.2500 0.2500 0.2500
0.5000 0.5000 0.5000
0.7500 0.7500 0.7500

***

# 3
PBEsol BaScRe2, optimized geometry; magnetization = 0.0 μB/f.u.; ΔE to the lowest computed polymorph = 251 meV per atom; E = -7.68 eV per atom; E_form = 4.7 eV per formula unit
1.0
2.7115 -5.1503 0.0000
2.7115 5.1503 0.0000
0.0000 0.0000 2.8350
Ba Sc Re
1 1 2
Direct
0.0000 0.0000 0.0000
0.5000 0.5000 0.0000
0.0000 0.5000 0.5000
0.5000 0.0000 0.5000

***

# 4
PBEsol Ba2ScRe, optimized geometry; magnetization = 0.0 μB/f.u.; ΔE to the lowest computed polymorph = 670 meV per atom; E = -4.88 eV per atom; E_form = 4.7 eV per formula unit
1.0
1.7462 1.0081 10.6517
-1.7462 1.0081 10.6517
0.0000 -2.0163 10.6517
Ba Sc Re
2 1 1
Direct
0.2386 0.2386 0.2386
0.7614 0.7614 0.7614
0.0000 0.0000 0.0000
0.5000 0.5000 0.5000